No. 1
This record from the Alexandria database describes crystalline DyNiSe2 at its relaxed geometry. The functional is PBE.

a = 3.6280 Å, b = 3.6280 Å, c = 8.4071 Å
α = 77.54°, β = 77.54°, γ = 60.00°
With the nearest neighbours (Å) after each atom.
Fractional coordinates of all 4 atoms:
Ni  0.5000  0.5000  0.5000  6 Se 2.45
Se  0.1149  0.1149  0.6553  3 Ni 2.45
Dy  0.0000  0.0000  0.0000  2 Se 2.81
Se  0.8851  0.8851  0.3447  3 Ni 2.45

Computed properties:
Space group: R-3m (166)
ΔE_f (raw) (meV per atom): -369
Raw total energy (eV per atom): -4.71



No. 2
This record from the Alexandria database describes crystalline Dy4NiSe2 at its relaxed geometry. The functional is PBE.

a = 3.8276 Å, b = 6.8504 Å, c = 13.9777 Å
α = 90.00°, β = 90.00°, γ = 106.22°
With the nearest neighbours (Å) after each atom.
Fractional coordinates of all 14 atoms:
Dy  0.5000  0.0000  0.0000  4 Se 2.83
Dy  0.7926  0.5852  0.3710  3 Se 2.86-2.89, 2 Ni 2.87
Se  0.8577  0.7155  0.9335  6 Dy 2.83-2.89
Dy  0.2074  0.4148  0.8710  3 Se 2.86-2.89, 2 Ni 2.87
Se  0.8577  0.7155  0.5665  6 Dy 2.83-2.89
Dy  0.9586  0.9173  0.7500  2 Ni 2.74, 2 Se 2.89
Ni  0.6080  0.2160  0.7500  6 Dy 2.74-2.87
Se  0.1423  0.2845  0.4335  6 Dy 2.83-2.89
Dy  0.2074  0.4148  0.6290  3 Se 2.86-2.89, 2 Ni 2.87
Dy  0.5000  0.0000  0.5000  4 Se 2.83
Dy  0.7926  0.5852  0.1290  3 Se 2.86-2.89, 2 Ni 2.87
Dy  0.0414  0.0827  0.2500  2 Ni 2.74, 2 Se 2.89
Ni  0.3920  0.7840  0.2500  6 Dy 2.74-2.87
Se  0.1423  0.2845  0.0665  6 Dy 2.83-2.89

Computed properties:
Space group: Cmcm (63)
ΔE_f (raw) (meV per atom): -1090
Raw total energy (eV per atom): -5.54